[1]
! Nd2Ni4SnGe3 PBE relaxed; values from VASP
&SYSTEM
  ibrav = 0, nat = 10, ntyp = 4
/
ATOMIC_SPECIES
Nd 144.24 Nd.upf
Ni 58.69 Ni.upf
Sn 118.71 Sn.upf
Ge 72.64 Ge.upf
CELL_PARAMETERS angstrom
4.218 0.000 0.000
0.000 4.218 0.000
0.000 0.000 9.922
ATOMIC_POSITIONS crystal
Nd 0.000 0.500 0.237
Nd 0.500 0.000 0.763
Ni 0.000 0.000 0.000
Ni 0.000 0.500 0.639
Ni 0.500 0.000 0.361
Ni 0.500 0.500 0.000
Sn 0.000 0.000 0.500
Ge 0.000 0.500 0.878
Ge 0.500 0.000 0.122
Ge 0.500 0.500 0.500
! * SG: P-4m2 (115)
! * V: 176.5 Å³ per cell
! * uncorrected energy: -56.91 eV/f.u.



[2]
! Ba5Na4Sr2 PBE relaxed; values from VASP
&SYSTEM
  ibrav = 0, nat = 11, ntyp = 3
/
ATOMIC_SPECIES
Ba 137.33 Ba.upf
Na 22.99 Na.upf
Sr 87.62 Sr.upf
CELL_PARAMETERS angstrom
10.795 0.000 0.000
0.000 4.112 0.000
-1.577 0.000 13.201
ATOMIC_POSITIONS crystal
Ba 0.000 0.000 0.000
Ba 0.033 0.000 0.328
Ba 0.341 0.000 0.861
Ba 0.659 0.000 0.139
Ba 0.967 0.000 0.672
Na 0.262 0.500 0.571
Na 0.303 0.500 0.125
Na 0.697 0.500 0.875
Na 0.738 0.500 0.429
Sr 0.418 0.000 0.359
Sr 0.582 0.000 0.641
! * SG: P2/m (10)
! * V: 585.9 Å³ per cell
! * uncorrected energy: -17.33 eV/f.u.



[3]
! PmTm5Hg4 PBE relaxed; values from VASP
&SYSTEM
  ibrav = 0, nat = 10, ntyp = 3
/
ATOMIC_SPECIES
Pm 145.00 Pm.upf
Tm 168.93 Tm.upf
Hg 200.59 Hg.upf
CELL_PARAMETERS angstrom
3.640 0.000 0.000
0.000 3.640 0.000
0.000 0.000 19.974
ATOMIC_POSITIONS crystal
Pm 0.000 0.000 0.000
Tm 0.500 0.500 0.126
Tm 0.500 0.500 0.314
Tm 0.500 0.500 0.500
Tm 0.500 0.500 0.686
Tm 0.500 0.500 0.874
Hg 0.000 0.000 0.218
Hg 0.000 0.000 0.405
Hg 0.000 0.000 0.595
Hg 0.000 0.000 0.782
! * SG: P4/mmm (123)
! * V: 264.6 Å³ per cell
! * uncorrected energy: -32.08 eV/f.u.



[4]
! Rb4C3 PBE relaxed; values from VASP
&SYSTEM
  ibrav = 0, nat = 7, ntyp = 2
/
ATOMIC_SPECIES
Rb 85.47 Rb.upf
C 12.01 C.upf
CELL_PARAMETERS angstrom
6.440 0.000 0.000
0.000 6.440 0.000
0.000 0.000 6.440
ATOMIC_POSITIONS crystal
Rb 0.000 0.000 0.000
Rb 0.000 0.500 0.500
Rb 0.500 0.000 0.500
Rb 0.500 0.500 0.000
C 0.000 0.000 0.500
C 0.000 0.500 0.000
C 0.500 0.000 0.000
! * SG: Pm-3m (221)
! * ΔE to the lowest computed polymorph: 0 meV/atom
! * V: 267.1 Å³ per cell



[5]
! KLiSbPt PBE relaxed; values from VASP
&SYSTEM
  ibrav = 0, nat = 8, ntyp = 4
/
ATOMIC_SPECIES
K 39.10 K.upf
Li 6.94 Li.upf
Sb 121.76 Sb.upf
Pt 195.08 Pt.upf
CELL_PARAMETERS angstrom
7.954 0.000 0.000
0.000 4.570 0.000
-2.640 0.000 6.017
ATOMIC_POSITIONS crystal
K 0.000 0.000 0.000
K 0.500 0.500 0.000
Li 0.186 0.000 0.560
Li 0.686 0.500 0.560
Sb 0.473 0.000 0.424
Sb 0.973 0.500 0.424
Pt 0.313 0.500 0.444
Pt 0.813 0.000 0.444
! * SG: Cm (8)
! * raw formation energy: -2.2 eV/f.u.
! * V: 218.7 Å³ per cell



Among the records above, which one has the lowest V? Nd2Ni4SnGe3



Please write out number 2 again, unchanged.
! Ba5Na4Sr2 PBE relaxed; values from VASP
&SYSTEM
  ibrav = 0, nat = 11, ntyp = 3
/
ATOMIC_SPECIES
Ba 137.33 Ba.upf
Na 22.99 Na.upf
Sr 87.62 Sr.upf
CELL_PARAMETERS angstrom
10.795 0.000 0.000
0.000 4.112 0.000
-1.577 0.000 13.201
ATOMIC_POSITIONS crystal
Ba 0.000 0.000 0.000
Ba 0.033 0.000 0.328
Ba 0.341 0.000 0.861
Ba 0.659 0.000 0.139
Ba 0.967 0.000 0.672
Na 0.262 0.500 0.571
Na 0.303 0.500 0.125
Na 0.697 0.500 0.875
Na 0.738 0.500 0.429
Sr 0.418 0.000 0.359
Sr 0.582 0.000 0.641
! * SG: P2/m (10)
! * V: 585.9 Å³ per cell
! * uncorrected energy: -17.33 eV/f.u.